# 1
# LiLa2BeRu

An optimized crystal structure of LiLa2BeRu (PBE-GGA, the Alexandria database).

```
LiLa2BeRu
1.0
-1.5332 5.2422 -0.1996
-3.7857 -1.2496 -3.7388
-3.0005 -0.7523 3.2896
Ru Li Be La
1 1 1 2
Direct
0.0000 0.0000 0.0000
0.5000 0.5000 0.5000
0.0000 0.0000 0.5000
0.0000 0.5000 0.0000
0.5000 0.0000 0.0000
```

For the formation energy, the calculation gives 0.14 eV per formula unit. As for the space-group type: P4/mmm. The total energy comes out at -4.93 eV per atom.

***

# 2
# LiLa2Be3Si4

An optimized crystal structure of LiLa2Be3Si4 (PBE-GGA, the Alexandria database).

```
LiLa2Be3Si4
1.0
-4.0081 0.7735 0.6091
-0.4236 -3.6598 1.8602
2.0962 4.1134 8.5703
Li La Be Si
1 2 3 4
Direct
0.5000 0.5000 0.5000
0.5000 0.0000 0.2467
0.0000 0.5000 0.7533
0.0000 0.0000 0.5000
0.5000 0.0000 0.8762
0.0000 0.5000 0.1238
0.5000 0.5000 0.0000
0.0000 0.0000 0.0000
0.5000 0.0000 0.6371
0.0000 0.5000 0.3629
```

As for the space-group type: P-4m2. The uncorrected formation energy comes out at -409 meV/atom. The total energy comes out at -4.87 eV per atom.

***

# 3
# LiLaBeSi2

An optimized crystal structure of LiLaBeSi2 (PBE-GGA, the Alexandria database).

```
LiLaBeSi2
1.0
4.1789 0.0000 0.0000
0.0000 4.1789 0.0000
-2.0895 -2.0895 4.9295
Li La Be Si
1 1 1 2
Direct
0.2500 0.7500 0.5000
0.0000 0.0000 0.0000
0.7500 0.2500 0.5000
0.6207 0.6207 0.2414
0.3793 0.3793 0.7586
```

As for the space-group type: I-4m2. The uncorrected formation energy comes out at -441 meV/atom. The total energy comes out at -4.72 eV per atom.

***

# 4
# LiLa2BeSi

An optimized crystal structure of LiLa2BeSi (PBE-GGA, the Alexandria database).

```
LiLa2BeSi
1.0
5.7413 0.0000 0.0000
0.0000 4.5494 0.0000
0.0000 0.0000 5.7413
Be Si Li La
1 1 1 2
Direct
0.5000 0.5000 0.5000
0.0000 0.0000 0.0000
0.0000 0.5000 0.0000
0.0000 0.0000 0.5000
0.5000 0.0000 0.0000
```

As for the space-group type: P4/mmm. The uncorrected formation energy comes out at 292 meV/atom. The total energy comes out at -3.89 eV per atom.